Density functional theory data (PBE+U) for a geometry-optimized MoSeN2O structure.

- VASP energy: -5.3166 eV per atom
- V: 58.0 Å³/cell

Cell: 3.9505 3.9505 3.7194 Å, 90.00 90.00 90.00°
Atoms (fractional coordinates):
Mo (0.0000, 0.0000, 0.0000)
Se (0.5000, 0.5000, 0.5000)
N (0.0000, 0.5000, 0.5000)
N (0.5000, 0.0000, 0.5000)
O (0.5000, 0.5000, 0.0000)